(1)
# Sc2Ni3Mo4N3

A geometry-optimized Sc2Ni3Mo4N3 structure (PBE-GGA, the Open Quantum Materials Database).

Calculated values
Magnetic moment   0.02 μB per formula unit
Total energy   -8.620 eV per atom
Space-group type   No. 15

Unit cell a=5.279 b=5.279 c=13.083 alpha=101.25 beta=101.25 gamma=60.33
Atoms (fractional coordinates):
Sc  0.038  0.876  0.619
Sc  0.124  0.962  0.881
Sc  0.876  0.038  0.119
Sc  0.962  0.124  0.381
Ni  0.085  0.397  0.750
Ni  0.397  0.085  0.250
Ni  0.431  0.569  0.250
Ni  0.569  0.431  0.750
Ni  0.603  0.915  0.750
Ni  0.915  0.603  0.250
Mo  0.196  0.366  0.082
Mo  0.314  0.465  0.418
Mo  0.366  0.196  0.582
Mo  0.465  0.314  0.918
Mo  0.535  0.686  0.082
Mo  0.634  0.804  0.418
Mo  0.686  0.535  0.582
Mo  0.804  0.634  0.918
N  0.000  0.500  0.500
N  0.149  0.700  0.000
N  0.300  0.851  0.500
N  0.500  0.000  0.000
N  0.700  0.149  0.500
N  0.851  0.300  0.000

***

(2)
# CsCu3Te2

A geometry-optimized CsCu3Te2 structure (PBE-GGA, the Open Quantum Materials Database).

Calculated values
Total energy   -3.384 eV per atom
Space-group type   No. 12

Unit cell a=8.496 b=8.496 c=9.124 alpha=109.84 beta=109.84 gamma=29.52
Atoms (fractional coordinates):
Cs  0.140  0.140  0.048
Cs  0.860  0.860  0.952
Cu  0.054  0.054  0.417
Cu  0.307  0.307  0.533
Cu  0.420  0.420  0.407
Cu  0.580  0.580  0.593
Cu  0.693  0.693  0.467
Cu  0.946  0.946  0.583
Te  0.193  0.193  0.670
Te  0.476  0.476  0.751
Te  0.524  0.524  0.249
Te  0.807  0.807  0.330

***

(3)
# NpBr2Cl

A geometry-optimized NpBr2Cl structure (PBE-GGA, the Open Quantum Materials Database).

Calculated values
Magnetic moment   4.00 μB per formula unit
Total energy   -5.969 eV per atom
Relative energy among the computed polymorphs   5.6 meV/atom
Space-group type   No. 6

Unit cell a=7.637 b=4.371 c=7.791 alpha=90.00 beta=118.82 gamma=90.00
Atoms (fractional coordinates):
Np  0.000  0.000  0.000
Np  0.338  0.500  0.672
Br  0.041  0.000  0.631
Br  0.383  0.000  0.422
Br  0.575  0.000  0.960
Br  0.970  0.500  0.256
Cl  0.255  0.500  0.016
Cl  0.755  0.500  0.749

***

(4)
# NaGdCoSe3

A geometry-optimized NaGdCoSe3 structure (PBE-GGA, the Open Quantum Materials Database).

Calculated values
Magnetic moment   2.72 μB per formula unit
Total energy   -4.983 eV per atom
Relative energy among the computed polymorphs   19.0 meV/atom
Space-group type   No. 62

Unit cell a=11.271 b=4.100 c=11.925 alpha=90.00 beta=90.00 gamma=90.00
Atoms (fractional coordinates):
Na  0.177  0.250  0.002
Na  0.323  0.750  0.502
Na  0.677  0.250  0.498
Na  0.823  0.750  0.998
Gd  0.018  0.250  0.316
Gd  0.482  0.750  0.816
Gd  0.518  0.250  0.184
Gd  0.982  0.750  0.684
Co  0.249  0.750  0.211
Co  0.251  0.250  0.711
Co  0.749  0.750  0.289
Co  0.751  0.250  0.789
Se  0.050  0.750  0.146
Se  0.112  0.250  0.561
Se  0.218  0.750  0.810
Se  0.282  0.250  0.310
Se  0.388  0.750  0.061
Se  0.450  0.250  0.646
Se  0.550  0.750  0.354
Se  0.612  0.250  0.939
Se  0.718  0.750  0.690
Se  0.782  0.250  0.190
Se  0.888  0.750  0.439
Se  0.950  0.250  0.854

***

Look up the total energy of the third one.
-5.969 eV per atom

***

What did the third record say?
# NpBr2Cl

A geometry-optimized NpBr2Cl structure (PBE-GGA, the Open Quantum Materials Database).

Calculated values
Magnetic moment   4.00 μB per formula unit
Total energy   -5.969 eV per atom
Relative energy among the computed polymorphs   5.6 meV/atom
Space-group type   No. 6

Unit cell a=7.637 b=4.371 c=7.791 alpha=90.00 beta=118.82 gamma=90.00
Atoms (fractional coordinates):
Np  0.000  0.000  0.000
Np  0.338  0.500  0.672
Br  0.041  0.000  0.631
Br  0.383  0.000  0.422
Br  0.575  0.000  0.960
Br  0.970  0.500  0.256
Cl  0.255  0.500  0.016
Cl  0.755  0.500  0.749